1) The following is a DFT calculation (GGA-PBE) of a relaxed Ho2RuPb crystal.

a = 7.207 Å, b = 7.207 Å, c = 7.207 Å
α = 90.00°, β = 90.00°, γ = 90.00°
Space group Fm-3m (No. 225)
Symmetry-distinct sites (fractional):
Ho: 0.250 0.250 0.250 (multiplicity 8)
Ru: 0.000 0.000 0.000 (multiplicity 4)
Pb: 0.000 0.000 0.500 (multiplicity 4)

Crystal system: cubic

=====

2) The following is a DFT calculation (GGA-PBE) of a relaxed Ho2RuPb crystal.

a = 4.919 Å, b = 4.919 Å, c = 3.849 Å
α = 90.00°, β = 90.00°, γ = 90.00°
Space group P4/mmm (No. 123)
Symmetry-distinct sites (fractional):
Ho: 0.000 0.500 0.000 (multiplicity 2)
Ru: 0.000 0.000 0.500 (multiplicity 1)
Pb: 0.500 0.500 0.500 (multiplicity 1)

Crystal system: tetragonal

=====

Stability, lowest: 1)

=====

1) The following is a DFT calculation (GGA-PBE) of a relaxed HoTmRuPb crystal.

a = 3.400 Å, b = 3.400 Å, c = 8.210 Å
α = 90.00°, β = 90.00°, γ = 90.00°
Space group P4mm (No. 99)
Symmetry-distinct sites (fractional):
Ho: 0.000 0.000 0.000 (multiplicity 1)
Tm: 0.000 0.000 0.599 (multiplicity 1)
Ru: 0.500 0.500 0.796 (multiplicity 1)
Pb: 0.500 0.500 0.302 (multiplicity 1)

Crystal system: tetragonal

=====

2) The following is a DFT calculation (GGA-PBE) of a relaxed HoTmRuPb crystal.

a = 7.176 Å, b = 7.176 Å, c = 7.176 Å
α = 90.00°, β = 90.00°, γ = 90.00°
Space group F-43m (No. 216)
Symmetry-distinct sites (fractional):
Ho: 0.000 0.000 0.000 (multiplicity 4)
Tm: 0.000 0.000 0.500 (multiplicity 4)
Ru: 0.250 0.250 0.250 (multiplicity 4)
Pb: 0.250 0.250 0.750 (multiplicity 4)

Crystal system: cubic

=====

Stability, lowest: 2)

=====

1) The following is a DFT calculation (GGA-PBE) of a relaxed YHoRuPb crystal.

a = 3.427 Å, b = 3.427 Å, c = 8.245 Å
α = 90.00°, β = 90.00°, γ = 90.00°
Space group P4mm (No. 99)
Symmetry-distinct sites (fractional):
Y: 0.000 0.000 0.000 (multiplicity 1)
Ho: 0.000 0.000 0.596 (multiplicity 1)
Ru: 0.500 0.500 0.794 (multiplicity 1)
Pb: 0.500 0.500 0.299 (multiplicity 1)

Crystal system: tetragonal

=====

2) The following is a DFT calculation (GGA-PBE) of a relaxed YHoRuPb crystal.

a = 7.229 Å, b = 7.229 Å, c = 7.229 Å
α = 90.00°, β = 90.00°, γ = 90.00°
Space group F-43m (No. 216)
Symmetry-distinct sites (fractional):
Y: 0.000 0.000 0.000 (multiplicity 4)
Ho: 0.000 0.000 0.500 (multiplicity 4)
Ru: 0.250 0.250 0.250 (multiplicity 4)
Pb: 0.250 0.250 0.750 (multiplicity 4)

Crystal system: cubic

=====

Stability, lowest: 2)